Model i:
VASP calculation (GGA-PBE) on a geometry-optimized Cd2AsPb structure.

abc: 6.5696 6.5696 3.2679
angles: 74.85 74.85 122.54
With the nearest neighbours (Å) after each atom.
Positions (direct):
Pb: 0.5000 0.0000 0.5000  4 As 3.07-3.16, 4 Cd 3.26, 2 Pb 3.27
As: 0.0000 0.5000 0.5000  4 Pb 3.07-3.16, 4 Cd 3.26, 2 As 3.27
Cd: 0.0000 0.0000 0.0000  6 Cd 3.07-3.27, 2 As 3.26, 2 Pb 3.26
Cd: 0.5000 0.5000 0.0000  6 Cd 3.07-3.27, 2 Pb 3.26, 2 As 3.26

Results
- magnetic moment (μB per formula unit) = 0.00
- space group = C2/m
- volume (Å³/f.u.) = 99.78
- calculated density (g/cm³) = 8.44

***

Model ii:
VASP calculation (GGA-PBE) on a geometry-optimized Cd2AsPb structure.

abc: 5.7248 5.7248 5.7248
angles: 138.63 124.66 71.39
With the nearest neighbours (Å) after each atom.
Positions (direct):
Pb: 0.7500 0.2500 0.5000  8 Cd 3.25-3.39, 4 As 3.34
As: 0.2500 0.7500 0.5000  4 Cd 2.92
Cd: 0.0238 0.0238 0.0000  2 As 2.92, 2 Pb 3.25
Cd: 0.4762 0.4762 0.0000  2 As 2.92, 2 Pb 3.25

Results
- magnetic moment (μB per formula unit) = 0.00
- space group = Immm
- volume (Å³/f.u.) = 99.98
- calculated density (g/cm³) = 8.42

***

Model iii:
VASP calculation (GGA-PBE) on a geometry-optimized Cd2AsPb structure.

abc: 5.5917 5.5917 5.5917
angles: 130.32 130.32 72.90
With the nearest neighbours (Å) after each atom.
Positions (direct):
Pb: 0.5000 0.5000 0.0000  8 Cd 3.25-3.32, 4 As 3.25
As: 0.7500 0.2500 0.5000  8 Cd 3.25-3.32, 4 Pb 3.25
Cd: 0.0000 0.0000 0.0000  4 Cd 3.25, 4 As 3.25, 4 Pb 3.32
Cd: 0.2500 0.7500 0.5000  4 Cd 3.25, 4 Pb 3.25, 4 As 3.32

Results
- magnetic moment (μB per formula unit) = 0.00
- space group = I-4m2
- volume (Å³/f.u.) = 99.28
- calculated density (g/cm³) = 8.48

***

Model iv:
VASP calculation (GGA-PBE) on a geometry-optimized Cd2AsPb structure.

abc: 4.4762 4.4762 6.7373
angles: 70.60 70.60 60.00
With the nearest neighbours (Å) after each atom.
Positions (direct):
Cd: 0.0679 0.0679 0.7964  3 As 2.88, 3 Pb 3.18
Cd: 0.2645 0.2645 0.2064  3 As 2.89, 3 Pb 3.16
As: 0.6669 0.6669 0.9992  6 Cd 2.88-2.89, 1 Pb 3.10
Pb: 0.5006 0.5006 0.4981  1 As 3.10, 6 Cd 3.16-3.18

Results
- magnetic moment (μB per formula unit) = 0.00
- space group = R3m
- volume (Å³/f.u.) = 107.97
- calculated density (g/cm³) = 7.80

***

The most stable structure shown above is model iv; the least stable is model i.